This record from Alexandria describes an optimized crystal structure of CoAg5F8. The functional is GGA+U.

Values from the calculation:
electronic total energy = -3.66 eV/atom

```
data_CoAg5F8
_chemical_formula_sum 'Co1 Ag5 F8'
_space_group_name_H-M_alt 'P 1'
_space_group_IT_number 1
_space_group_name_Hall 'P 1'
_cell_length_a 6.6968
_cell_length_b 6.6968
_cell_length_c 6.6968
_cell_angle_alpha 106.76
_cell_angle_beta 106.76
_cell_angle_gamma 115.04
loop_
_atom_site_label
_atom_site_type_symbol
_atom_site_fract_x
_atom_site_fract_y
_atom_site_fract_z
F1 F 0.6550 0.8695 0.3383
Ag1 Ag 0.3903 0.9221 0.0661
F2 F 0.5312 0.3166 0.6617
F3 F 0.1143 0.8189 0.2477
F4 F 0.6834 0.3450 0.2146
Ag2 Ag 0.6758 0.6097 0.5317
F5 F 0.1811 0.4288 0.2954
Ag3 Ag 0.5000 0.5000 0.0000
F6 F 0.5712 0.8666 0.7523
F7 F 0.1305 0.4688 0.7854
Ag4 Ag 0.8560 0.3242 0.9339
Co1 Co 0.2500 0.7500 0.5000
Ag5 Ag 0.0779 0.1440 0.4683
F8 F 0.1334 0.8857 0.7046
```